# YCo2Si

An optimized crystal structure of YCo2Si (GGA-PBE, Alexandria).

Output
Its formation energy (no corrections) is 53 meV/atom. The calculation puts the total energy at -6.472 eV/atom. Its space-group type is No. 216. The value obtained for the density of states at the Fermi level is 23.823 states/eV/cell.

abc: 6.2959 6.2959 6.2959
angles: 90.00 90.00 90.00
Element x y z (fractional)
Y: 0.0000 0.0000 0.0000
Y: 0.0000 0.5000 0.5000
Y: 0.5000 0.0000 0.5000
Y: 0.5000 0.5000 0.0000
Co: 0.0000 0.0000 0.5000
Co: 0.0000 0.5000 0.0000
Co: 0.2500 0.2500 0.7500
Co: 0.2500 0.7500 0.2500
Co: 0.5000 0.0000 0.0000
Co: 0.5000 0.5000 0.5000
Co: 0.7500 0.2500 0.2500
Co: 0.7500 0.7500 0.7500
Si: 0.2500 0.2500 0.2500
Si: 0.2500 0.7500 0.7500
Si: 0.7500 0.2500 0.7500
Si: 0.7500 0.7500 0.2500